## 1
This record from Alexandria describes crystalline CsAgS2 at its relaxed geometry. The functional is PBE-GGA.

```
CsAgS2
1.0
-0.332 -2.929 4.432
4.335 -2.414 1.926
2.230 1.735 4.511
Cs S Ag
1 2 1
Direct
0.500 0.500 0.500
0.250 0.250 0.250
0.750 0.750 0.750
0.000 0.000 0.000
```

Properties
Spin magnetization, μB/f.u.: 2.03
Space-group type: No. 225
Crystal system: cubic

---

## 2
This record from Alexandria describes crystalline CsAgS2 at its relaxed geometry. The functional is PBE-GGA.

```
CsAgS2
1.0
3.226 0.000 7.620
-1.613 2.794 7.620
-1.613 -2.794 7.620
Cs S Ag
1 2 1
Direct
0.500 0.500 0.500
0.901 0.901 0.901
0.099 0.099 0.099
0.000 0.000 0.000
```

Properties
Spin magnetization, μB/f.u.: 2.00
Space-group type: No. 166
Crystal system: trigonal

---

## 3
This record from Alexandria describes crystalline CsAgS2 at its relaxed geometry. The functional is PBE-GGA.

```
CsAgS2
1.0
2.316 0.000 8.776
-1.158 2.006 8.776
-1.158 -2.006 8.776
Cs S Ag
1 2 1
Direct
0.000 0.000 0.000
0.880 0.880 0.880
0.120 0.120 0.120
0.500 0.500 0.500
```

Properties
Spin magnetization, μB/f.u.: 0.00
Space-group type: No. 166
Crystal system: trigonal

---

## 4
This record from Alexandria describes crystalline CsAgS2 at its relaxed geometry. The functional is PBE-GGA.

```
CsAgS2
1.0
5.130 -0.407 1.085
-0.577 5.146 0.895
0.345 0.154 10.744
Cs Ag S
2 2 4
Direct
0.121 0.143 0.911
0.946 0.467 0.412
0.534 0.805 0.662
0.533 0.305 0.162
0.323 0.982 0.503
0.514 0.674 0.003
0.552 0.936 0.320
0.744 0.628 0.820
```

Properties
Spin magnetization, μB/f.u.: 0.00
Space-group type: No. 2
Crystal system: triclinic

---

Stability order, top to bottom: 4, 2, 3, 1

---

## 1
This record from Alexandria describes crystalline Cs3AgS2 at its relaxed geometry. The functional is PBE-GGA.

```
Cs3AgS2
1.0
7.749 0.000 -3.036
0.000 11.813 0.000
-0.211 0.000 11.322
Cs Ag S
12 4 8
Direct
0.266 0.948 0.014
0.234 0.448 0.486
0.734 0.052 0.986
0.766 0.552 0.514
0.336 0.519 0.118
0.164 0.019 0.382
0.664 0.481 0.882
0.836 0.981 0.618
0.912 0.719 0.187
0.588 0.219 0.313
0.088 0.281 0.813
0.412 0.781 0.687
0.539 0.823 0.327
0.961 0.323 0.173
0.461 0.177 0.673
0.039 0.677 0.827
0.721 0.950 0.276
0.779 0.450 0.224
0.279 0.050 0.724
0.221 0.550 0.776
0.353 0.698 0.377
0.147 0.198 0.123
0.647 0.302 0.623
0.853 0.802 0.877
```

Properties
Spin magnetization, μB/f.u.: 0.00
Space-group type: No. 14
Crystal system: monoclinic

---

## 2
This record from Alexandria describes crystalline Cs3AgS2 at its relaxed geometry. The functional is PBE-GGA.

```
Cs3AgS2
1.0
-5.606 3.573 3.961
2.817 -4.127 7.708
5.859 5.808 -4.505
Cs Ag S
6 2 4
Direct
0.500 0.250 0.000
0.500 0.750 0.000
0.775 0.025 0.549
0.225 0.475 0.451
0.225 0.975 0.451
0.775 0.525 0.549
0.000 0.500 0.000
0.000 0.000 0.000
0.656 0.388 0.776
0.880 0.112 0.224
0.120 0.888 0.776
0.344 0.612 0.224
```

Properties
Spin magnetization, μB/f.u.: 0.00
Space-group type: No. 72
Crystal system: orthorhombic

---

Stability order, top to bottom: 1, 2

---

## 1
This record from Alexandria describes crystalline CsAg3Sb3 at its relaxed geometry. The functional is PBE-GGA.

```
CsAg3Sb3
1.0
7.012 0.000 0.000
3.506 6.072 0.000
3.506 2.024 10.463
Cs Ag Sb
2 6 6
Direct
0.310 0.310 0.070
0.690 0.690 0.930
0.595 0.776 0.561
0.776 0.068 0.561
0.068 0.595 0.561
0.932 0.405 0.439
0.224 0.932 0.439
0.405 0.224 0.439
0.282 0.653 0.282
0.783 0.282 0.282
0.653 0.783 0.282
0.347 0.217 0.718
0.217 0.718 0.718
0.718 0.347 0.718
```

Properties
Spin magnetization, μB/f.u.: 0.00
Space-group type: No. 148
Crystal system: trigonal

---

## 2
This record from Alexandria describes crystalline CsAg3Sb3 at its relaxed geometry. The functional is PBE-GGA.

```
CsAg3Sb3
1.0
-4.226 -6.377 1.280
3.938 -1.294 6.556
-5.177 4.222 3.943
Cs Sb Ag
2 6 6
Direct
0.500 0.500 0.500
0.000 0.000 0.000
0.000 0.250 0.500
0.000 0.750 0.500
0.500 0.000 0.750
0.750 0.500 0.000
0.500 0.000 0.250
0.250 0.500 0.000
0.250 0.000 0.500
0.000 0.500 0.250
0.500 0.750 0.000
0.750 0.000 0.500
0.000 0.500 0.750
0.500 0.250 0.000
```

Properties
Spin magnetization, μB/f.u.: 0.00
Space-group type: No. 223
Crystal system: cubic

---

Stability order, top to bottom: 1, 2

---

## 1
This record from Alexandria describes crystalline CsAgSbTe2 at its relaxed geometry. The functional is PBE-GGA.

```
CsAgSbTe2
1.0
5.772 0.000 0.000
0.000 5.772 0.000
0.000 0.000 5.387
Cs Sb Te Ag
1 1 2 1
Direct
0.500 0.500 0.500
0.000 0.000 0.500
0.000 0.500 0.000
0.500 0.000 0.000
0.000 0.000 0.000
```

Properties
Spin magnetization, μB/f.u.: 0.00
Space-group type: No. 123
Crystal system: tetragonal

---

## 2
This record from Alexandria describes crystalline CsAgSbTe2 at its relaxed geometry. The functional is PBE-GGA.

```
CsAgSbTe2
1.0
7.582 0.000 0.000
0.000 6.130 0.000
0.000 -3.065 8.618
Cs Ag Sb Te
2 2 2 4
Direct
0.240 0.750 0.500
0.760 0.250 0.500
0.000 0.000 0.000
0.000 0.500 0.000
0.500 0.750 0.000
0.500 0.250 0.000
0.762 0.885 0.770
0.762 0.615 0.230
0.238 0.385 0.770
0.238 0.115 0.230
```

Properties
Spin magnetization, μB/f.u.: 0.00
Space-group type: No. 67
Crystal system: orthorhombic

---

Stability order, top to bottom: 2, 1

---

## 1
This record from Alexandria describes crystalline CsAg4Se2 at its relaxed geometry. The functional is PBE-GGA.

```
CsAg4Se2
1.0
4.472 0.000 0.000
0.000 4.283 -0.944
0.000 -0.188 9.336
Cs Ag Se
1 4 2
Direct
0.000 0.000 0.000
0.500 0.802 0.604
0.000 0.694 0.387
0.500 0.198 0.396
0.000 0.306 0.613
0.500 0.611 0.222
0.500 0.389 0.778
```

Properties
Spin magnetization, μB/f.u.: 0.00
Space-group type: No. 65
Crystal system: orthorhombic

---

## 2
This record from Alexandria describes crystalline CsAg4Se2 at its relaxed geometry. The functional is PBE-GGA.

```
CsAg4Se2
1.0
-0.466 3.835 2.581
-3.384 0.268 3.172
4.649 -2.386 8.566
Cs Ag Se
1 4 2
Direct
0.000 0.000 0.000
0.448 0.448 0.657
0.152 0.152 0.543
0.552 0.552 0.343
0.848 0.848 0.457
0.248 0.248 0.255
0.752 0.752 0.745
```

Properties
Spin magnetization, μB/f.u.: 0.00
Space-group type: No. 166
Crystal system: trigonal

---

Stability order, top to bottom: 1, 2

---

## 1
This record from Alexandria describes crystalline Cs2AgSe at its relaxed geometry. The functional is PBE-GGA.

```
Cs2AgSe
1.0
8.531 0.000 0.000
0.000 8.531 0.000
4.266 4.266 8.177
Cs Se Ag
4 2 2
Direct
0.585 0.125 0.250
0.165 0.625 0.250
0.375 0.415 0.750
0.875 0.835 0.750
0.500 0.500 0.000
0.250 0.750 0.500
0.000 0.000 0.000
0.750 0.250 0.500
```

Properties
Spin magnetization, μB/f.u.: 1.00
Space-group type: No. 122
Crystal system: tetragonal

---

## 2
This record from Alexandria describes crystalline Cs2AgSe at its relaxed geometry. The functional is PBE-GGA.

```
Cs2AgSe
1.0
0.000 4.338 4.338
4.338 0.000 4.338
4.338 4.338 0.000
Cs Se Ag
2 1 1
Direct
0.250 0.250 0.250
0.750 0.750 0.750
0.000 0.000 0.000
0.500 0.500 0.500
```

Properties
Spin magnetization, μB/f.u.: 0.00
Space-group type: No. 225
Crystal system: cubic

---

Stability order, top to bottom: 2, 1

---

## 1
This record from Alexandria describes crystalline Cs3AgSe at its relaxed geometry. The functional is PBE-GGA.

```
Cs3AgSe
1.0
-2.460 3.416 -3.502
1.052 -10.624 -2.527
-8.910 -1.171 5.067
Cs Ag Se
6 2 2
Direct
0.915 0.220 0.321
0.578 0.883 0.629
0.466 0.271 0.792
0.129 0.934 0.101
0.240 0.545 0.040
0.804 0.609 0.381
0.206 0.511 0.681
0.838 0.643 0.740
0.531 0.837 0.295
0.512 0.317 0.126
```

Properties
Spin magnetization, μB/f.u.: 0.00
Space-group type: No. 2
Crystal system: triclinic

---

## 2
This record from Alexandria describes crystalline Cs3AgSe at its relaxed geometry. The functional is PBE-GGA.

```
Cs3AgSe
1.0
6.939 0.000 0.000
0.000 6.939 0.000
0.000 0.000 6.939
Cs Se Ag
3 1 1
Direct
0.000 0.500 0.000
0.000 0.000 0.500
0.500 0.000 0.000
0.000 0.000 0.000
0.500 0.500 0.500
```

Properties
Spin magnetization, μB/f.u.: 0.00
Space-group type: No. 221
Crystal system: cubic

---

Stability order, top to bottom: 1, 2

---

## 1
This record from Alexandria describes crystalline CsSrAgSe2 at its relaxed geometry. The functional is PBE-GGA.

```
CsSrAgSe2
1.0
-2.829 -0.880 -5.153
-2.672 -7.220 2.699
-5.340 7.221 1.699
Cs Sr Ag Se
2 2 2 4
Direct
0.220 0.750 0.500
0.780 0.250 0.500
0.500 0.750 0.000
0.500 0.250 0.000
0.000 0.000 0.000
0.000 0.500 0.000
0.722 0.887 0.773
0.722 0.613 0.227
0.278 0.387 0.773
0.278 0.113 0.227
```

Properties
Spin magnetization, μB/f.u.: 0.00
Space-group type: No. 67
Crystal system: orthorhombic

---

## 2
This record from Alexandria describes crystalline CsSrAgSe2 at its relaxed geometry. The functional is PBE-GGA.

```
CsSrAgSe2
1.0
6.060 0.000 0.000
0.000 5.548 0.000
0.000 0.000 6.060
Cs Sr Se Ag
1 1 2 1
Direct
0.000 0.000 0.000
0.500 0.500 0.500
0.000 0.000 0.500
0.500 0.000 0.000
0.000 0.500 0.000
```

Properties
Spin magnetization, μB/f.u.: 0.00
Space-group type: No. 123
Crystal system: tetragonal

---

Stability order, top to bottom: 1, 2